(1)
# LaSmTh4

An optimized crystal structure of LaSmTh4 (GGA-PBE, the Alexandria database).

Offset from the most stable computed form, meV per atom: 0.0
Spin magnetization, μB per cell: 0.0
Crystal system: tetragonal
D(E_F), states/eV/f.u.: 9.259
Uncorrected energy, eV per atom: -6.5083

The structure in CIF format:
```
data_LaSmTh4
_chemical_formula_sum 'La1 Sm1 Th4'
_cell_length_a 3.609
_cell_length_b 3.609
_cell_length_c 15.225
_cell_angle_alpha 90.00
_cell_angle_beta 90.00
_cell_angle_gamma 90.00
_symmetry_space_group_name_H-M 'P 4/m m m'
_symmetry_Int_Tables_number 123
_symmetry_space_group_name_Hall '-P 4 2'
loop_
_atom_site_label
_atom_site_fract_x
_atom_site_fract_y
_atom_site_fract_z
_atom_site_occupancy
La1 0.000 0.000 0.000 1
Sm1 0.500 0.500 0.500 1
Th1 0.000 0.000 0.331 1
Th2 0.500 0.500 0.172 1
```

***

(2)
# La6Sm12Th

An optimized crystal structure of La6Sm12Th (GGA-PBE, the Alexandria database).

Offset from the most stable computed form, meV per atom: 0.0
Spin magnetization, μB per cell: 0.0
Crystal system: trigonal
D(E_F), states/eV/f.u.: 29.041
Uncorrected energy, eV per atom: -4.8123

The structure in CIF format:
```
data_La6Sm12Th
_chemical_formula_sum 'La18 Sm36 Th3'
_cell_length_a 13.4904
_cell_length_b 13.4904
_cell_length_c 13.0578
_cell_angle_alpha 90.00
_cell_angle_beta 90.00
_cell_angle_gamma 120.00
_symmetry_space_group_name_H-M 'R -3 m'
_symmetry_Int_Tables_number 166
_symmetry_space_group_name_Hall '-R 3 2"'
loop_
_atom_site_label
_atom_site_fract_x
_atom_site_fract_y
_atom_site_fract_z
_atom_site_occupancy
La1 0.0887 0.1774 0.2707 1
Sm1 0.0000 0.2611 0.5000 1
Sm2 0.0539 0.5269 0.6154 1
Th1 0.0000 0.0000 0.5000 1
```

***

(3)
# LaSmTh

An optimized crystal structure of LaSmTh (GGA-PBE, the Alexandria database).

Offset from the most stable computed form, meV per atom: 0.0
Spin magnetization, μB per cell: 0.0
Crystal system: tetragonal
D(E_F), states/eV/f.u.: 4.167
Uncorrected energy, eV per atom: -5.6658

The structure in CIF format:
```
data_LaSmTh
_chemical_formula_sum 'La2 Sm2 Th2'
_cell_length_a 3.636
_cell_length_b 3.636
_cell_length_c 15.572
_cell_angle_alpha 90.00
_cell_angle_beta 90.00
_cell_angle_gamma 90.00
_symmetry_space_group_name_H-M 'I 4 m m'
_symmetry_Int_Tables_number 107
_symmetry_space_group_name_Hall 'I 4 -2'
loop_
_atom_site_label
_atom_site_fract_x
_atom_site_fract_y
_atom_site_fract_z
_atom_site_occupancy
La1 0.000 0.000 0.000 1
Sm1 0.000 0.000 0.312 1
Th1 0.000 0.000 0.658 1
```

***

(4)
# LaSmTh2

An optimized crystal structure of LaSmTh2 (GGA-PBE, the Alexandria database).

Offset from the most stable computed form, meV per atom: 49.7
Spin magnetization, μB per cell: 0.0
Crystal system: tetragonal
D(E_F), states/eV/f.u.: 6.048
Uncorrected energy, eV per atom: -6.0451

The structure in CIF format:
```
data_LaSmTh2
_chemical_formula_sum 'La1 Sm1 Th2'
_cell_length_a 5.069
_cell_length_b 5.069
_cell_length_c 5.175
_cell_angle_alpha 90.00
_cell_angle_beta 90.00
_cell_angle_gamma 90.00
_symmetry_space_group_name_H-M 'P 4/m m m'
_symmetry_Int_Tables_number 123
_symmetry_space_group_name_Hall '-P 4 2'
loop_
_atom_site_label
_atom_site_fract_x
_atom_site_fract_y
_atom_site_fract_z
_atom_site_occupancy
La1 0.000 0.000 0.000 1
Sm1 0.500 0.500 0.000 1
Th1 0.000 0.500 0.500 1
```

***

(5)
# La3SmTh3

An optimized crystal structure of La3SmTh3 (GGA-PBE, the Alexandria database).

Spin magnetization, μB per cell: 0.0
Crystal system: hexagonal
D(E_F), states/eV/f.u.: 12.283
Uncorrected energy, eV per atom: -5.8917

The structure in CIF format:
```
data_La3SmTh3
_chemical_formula_sum 'La6 Sm2 Th6'
_cell_length_a 9.6804
_cell_length_b 9.6804
_cell_length_c 5.9980
_cell_angle_alpha 90.00
_cell_angle_beta 90.00
_cell_angle_gamma 120.00
_symmetry_space_group_name_H-M 'P 63/m'
_symmetry_Int_Tables_number 176
_symmetry_space_group_name_Hall '-P 6c'
loop_
_atom_site_label
_atom_site_fract_x
_atom_site_fract_y
_atom_site_fract_z
_atom_site_occupancy
La1 0.0442 0.2468 0.2500 1
Sm1 0.3333 0.6667 0.2500 1
Th1 0.1045 0.4932 0.7500 1
```

***

(6)
# La2Sm2Th3

An optimized crystal structure of La2Sm2Th3 (GGA-PBE, the Alexandria database).

Spin magnetization, μB per cell: 0.0
Crystal system: orthorhombic
D(E_F), states/eV/f.u.: 13.138
Uncorrected energy, eV per atom: -5.8658

The structure in CIF format:
```
data_La2Sm2Th3
_chemical_formula_sum 'La4 Sm4 Th6'
_cell_length_a 3.566
_cell_length_b 37.450
_cell_length_c 3.576
_cell_angle_alpha 90.00
_cell_angle_beta 90.00
_cell_angle_gamma 90.00
_symmetry_space_group_name_H-M 'C m m m'
_symmetry_Int_Tables_number 65
_symmetry_space_group_name_Hall '-C 2 2'
loop_
_atom_site_label
_atom_site_fract_x
_atom_site_fract_y
_atom_site_fract_z
_atom_site_occupancy
La1 0.000 0.209 0.000 1
Sm1 0.000 0.365 0.500 1
Th1 0.000 0.067 0.000 1
Th2 0.000 0.500 0.500 1
```

***

(7)
# La2Sm4Th

An optimized crystal structure of La2Sm4Th (GGA-PBE, the Alexandria database).

Offset from the most stable computed form, meV per atom: 0.0
Spin magnetization, μB per cell: 0.0
Crystal system: orthorhombic
D(E_F), states/eV/f.u.: 14.332
Uncorrected energy, eV per atom: -4.9478

The structure in CIF format:
```
data_La2Sm4Th
_chemical_formula_sum 'La4 Sm8 Th2'
_cell_length_a 6.063
_cell_length_b 23.164
_cell_length_c 3.464
_cell_angle_alpha 90.00
_cell_angle_beta 90.00
_cell_angle_gamma 90.00
_symmetry_space_group_name_H-M 'C m m m'
_symmetry_Int_Tables_number 65
_symmetry_space_group_name_Hall '-C 2 2'
loop_
_atom_site_label
_atom_site_fract_x
_atom_site_fract_y
_atom_site_fract_z
_atom_site_occupancy
La1 0.000 0.215 0.000 1
Sm1 0.000 0.075 0.500 1
Sm2 0.000 0.368 0.000 1
Th1 0.000 0.500 0.500 1
```

***

(8)
# La2SmTh

An optimized crystal structure of La2SmTh (GGA-PBE, the Alexandria database).

Offset from the most stable computed form, meV per atom: 12.2
Spin magnetization, μB per cell: 0.0
Crystal system: orthorhombic
D(E_F), states/eV/f.u.: 6.792
Uncorrected energy, eV per atom: -5.4597

The structure in CIF format:
```
data_La2SmTh
_chemical_formula_sum 'La4 Sm2 Th2'
_cell_length_a 11.823
_cell_length_b 3.685
_cell_length_c 6.376
_cell_angle_alpha 90.00
_cell_angle_beta 90.00
_cell_angle_gamma 90.00
_symmetry_space_group_name_H-M 'A m m 2'
_symmetry_Int_Tables_number 38
loop_
_symmetry_equiv_pos_as_xyz
'x,y,z'
'-x,-y,z'
'-x,y,z'
'x,-y,z'
'x,y+1/2,z+1/2'
'-x,-y+1/2,z+1/2'
'-x,y+1/2,z+1/2'
'x,-y+1/2,z+1/2'
loop_
_atom_site_label
_atom_site_fract_x
_atom_site_fract_y
_atom_site_fract_z
_atom_site_occupancy
La1 0.248 0.000 0.000 1
Sm1 0.500 0.000 0.666 1
Th1 0.000 0.000 0.335 1
```

***

(9)
# La3Sm2Th

An optimized crystal structure of La3Sm2Th (GGA-PBE, the Alexandria database).

Offset from the most stable computed form, meV per atom: 0.0
Spin magnetization, μB per cell: 0.0
Crystal system: tetragonal
D(E_F), states/eV/f.u.: 10.460
Uncorrected energy, eV per atom: -5.2448

The structure in CIF format:
```
data_La3Sm2Th
_chemical_formula_sum 'La3 Sm2 Th1'
_cell_length_a 3.658
_cell_length_b 3.658
_cell_length_c 15.664
_cell_angle_alpha 90.00
_cell_angle_beta 90.00
_cell_angle_gamma 90.00
_symmetry_space_group_name_H-M 'P 4/m m m'
_symmetry_Int_Tables_number 123
_symmetry_space_group_name_Hall '-P 4 2'
loop_
_atom_site_label
_atom_site_fract_x
_atom_site_fract_y
_atom_site_fract_z
_atom_site_occupancy
La1 0.000 0.000 0.000 1
La2 0.000 0.000 0.343 1
Sm1 0.500 0.500 0.165 1
Th1 0.500 0.500 0.500 1
```

***

(10)
# La4SmTh2

An optimized crystal structure of La4SmTh2 (GGA-PBE, the Alexandria database).

Spin magnetization, μB per cell: 0.0
Crystal system: trigonal
D(E_F), states/eV/f.u.: 12.316
Uncorrected energy, eV per atom: -5.5714

The structure in CIF format:
```
data_La4SmTh2
_chemical_formula_sum 'La12 Sm3 Th6'
_cell_length_a 3.6739
_cell_length_b 3.6739
_cell_length_c 62.9937
_cell_angle_alpha 90.00
_cell_angle_beta 90.00
_cell_angle_gamma 120.00
_symmetry_space_group_name_H-M 'R -3 m'
_symmetry_Int_Tables_number 166
_symmetry_space_group_name_Hall '-R 3 2"'
loop_
_atom_site_label
_atom_site_fract_x
_atom_site_fract_y
_atom_site_fract_z
_atom_site_occupancy
La1 0.0000 0.0000 0.0972 1
La2 0.0000 0.0000 0.3807 1
Sm1 0.0000 0.0000 0.0000 1
Th1 0.0000 0.0000 0.1893 1
```

***

(11)
# La2Sm6Th

An optimized crystal structure of La2Sm6Th (GGA-PBE, the Alexandria database).

Offset from the most stable computed form, meV per atom: 123.3
Spin magnetization, μB per cell: 0.0
Crystal system: hexagonal
D(E_F), states/eV/f.u.: 16.317
Uncorrected energy, eV per atom: -4.8875

The structure in CIF format:
```
data_La2Sm6Th
_chemical_formula_sum 'La2 Sm6 Th1'
_cell_length_a 3.6389
_cell_length_b 3.6389
_cell_length_c 39.9563
_cell_angle_alpha 90.00
_cell_angle_beta 90.00
_cell_angle_gamma 120.00
_symmetry_space_group_name_H-M 'P -6 m 2'
_symmetry_Int_Tables_number 187
_symmetry_space_group_name_Hall 'P -6 2'
loop_
_atom_site_label
_atom_site_fract_x
_atom_site_fract_y
_atom_site_fract_z
_atom_site_occupancy
La1 0.0000 0.0000 0.0748 1
Sm1 0.0000 0.0000 0.2257 1
Sm2 0.6667 0.3333 0.1515 1
Sm3 0.6667 0.3333 0.2971 1
Th1 0.6667 0.3333 0.0000 1
```

***

(12)
# La3Sm6Th2

An optimized crystal structure of La3Sm6Th2 (GGA-PBE, the Alexandria database).

Spin magnetization, μB per cell: 0.0
Crystal system: trigonal
D(E_F), states/eV/f.u.: 18.476
Uncorrected energy, eV per atom: -4.2565

The structure in CIF format:
```
data_La3Sm6Th2
_chemical_formula_sum 'La9 Sm18 Th6'
_cell_length_a 4.8735
_cell_length_b 4.8735
_cell_length_c 65.4726
_cell_angle_alpha 90.00
_cell_angle_beta 90.00
_cell_angle_gamma 120.00
_symmetry_space_group_name_H-M 'R -3 m'
_symmetry_Int_Tables_number 166
_symmetry_space_group_name_Hall '-R 3 2"'
loop_
_atom_site_label
_atom_site_fract_x
_atom_site_fract_y
_atom_site_fract_z
_atom_site_occupancy
La1 0.0000 0.0000 0.0000 1
La2 0.0000 0.0000 0.2231 1
Sm1 0.0000 0.0000 0.0458 1
Sm2 0.0000 0.0000 0.2814 1
Sm3 0.0000 0.0000 0.4153 1
Th1 0.0000 0.0000 0.4775 1
```